# BePd2F, optimized geometry, DFT GGA-PBE
data_BePd2F
_chemical_formula_sum 'Be4 Pd8 F4'
_symmetry_space_group_name_H-M 'F m -3 m'
_symmetry_Int_Tables_number 225
_symmetry_space_group_name_Hall '-F 4 2 3'
_cell_length_a 5.787
_cell_length_b 5.787
_cell_length_c 5.787
_cell_angle_alpha 90.00
_cell_angle_beta 90.00
_cell_angle_gamma 90.00
loop_
_atom_site_label
_atom_site_fract_x
_atom_site_fract_y
_atom_site_fract_z
Be1 0.000 0.000 0.000
Pd1 0.250 0.250 0.250
F1 0.000 0.000 0.500
# - calculated total energy (eV per atom) = -4.351
# - density (Mg/m³) = 8.3
# - total moment (μB per formula unit) = 0.00
# - D(E_F) (states/eV/f.u.) = 2.677

***

# BePd2F, optimized geometry, DFT GGA-PBE
data_BePd2F
_chemical_formula_sum 'Be4 Pd8 F4'
_symmetry_space_group_name_H-M 'I -4 2 d'
_symmetry_Int_Tables_number 122
_symmetry_space_group_name_Hall 'I -4 2bw'
_cell_length_a 6.240
_cell_length_b 6.240
_cell_length_c 5.423
_cell_angle_alpha 90.00
_cell_angle_beta 90.00
_cell_angle_gamma 90.00
loop_
_atom_site_label
_atom_site_fract_x
_atom_site_fract_y
_atom_site_fract_z
Be1 0.000 0.000 0.000
Pd1 0.222 0.250 0.125
F1 0.000 0.000 0.500
# - calculated total energy (eV per atom) = -4.324
# - density (Mg/m³) = 7.6
# - total moment (μB per formula unit) = 0.00
# - D(E_F) (states/eV/f.u.) = 0.553

***

# BePd3F, optimized geometry, DFT GGA-PBE
data_BePd3F
_chemical_formula_sum 'Be1 Pd3 F1'
_symmetry_space_group_name_H-M 'P m -3 m'
_symmetry_Int_Tables_number 221
_symmetry_space_group_name_Hall '-P 4 2 3'
_cell_length_a 4.250
_cell_length_b 4.250
_cell_length_c 4.250
_cell_angle_alpha 90.00
_cell_angle_beta 90.00
_cell_angle_gamma 90.00
loop_
_atom_site_label
_atom_site_fract_x
_atom_site_fract_y
_atom_site_fract_z
Be1 0.000 0.000 0.000
Pd1 0.000 0.000 0.500
F1 0.500 0.500 0.500
# - calculated total energy (eV per atom) = -4.128
# - density (Mg/m³) = 7.5
# - total moment (μB per formula unit) = 0.00
# - D(E_F) (states/eV/f.u.) = 9.677

***

# BePdF2, optimized geometry, DFT GGA-PBE
data_BePdF2
_chemical_formula_sum 'Be3 Pd3 F6'
_symmetry_space_group_name_H-M 'R -3 m'
_symmetry_Int_Tables_number 166
_symmetry_space_group_name_Hall '-R 3 2"'
_cell_length_a 2.8478
_cell_length_b 2.8478
_cell_length_c 28.0499
_cell_angle_alpha 90.00
_cell_angle_beta 90.00
_cell_angle_gamma 120.00
loop_
_atom_site_label
_atom_site_fract_x
_atom_site_fract_y
_atom_site_fract_z
Be1 0.0000 0.0000 0.0000
Pd1 0.0000 0.0000 0.5000
F1 0.0000 0.0000 0.0489
# - calculated total energy (eV per atom) = -4.553
# - density (Mg/m³) = 3.9
# - total moment (μB per formula unit) = 0.29
# - D(E_F) (states/eV/f.u.) = 3.819

***

# BePdF, optimized geometry, DFT GGA-PBE
data_BePdF
_chemical_formula_sum 'Be4 Pd4 F4'
_symmetry_space_group_name_H-M 'A m m 2'
_symmetry_Int_Tables_number 38
_symmetry_space_group_name_Hall 'A 2 -2'
_cell_length_a 12.812
_cell_length_b 2.595
_cell_length_c 5.016
_cell_angle_alpha 90.00
_cell_angle_beta 90.00
_cell_angle_gamma 90.00
loop_
_atom_site_label
_atom_site_fract_x
_atom_site_fract_y
_atom_site_fract_z
Be1 0.000 0.000 0.000
Be2 0.500 0.000 0.236
Pd1 0.367 0.000 0.922
F1 0.084 0.000 0.500
# - calculated total energy (eV per atom) = -4.973
# - density (Mg/m³) = 5.4
# - total moment (μB per formula unit) = 0.00
# - D(E_F) (states/eV/f.u.) = 0.611

***

# BePdF3, optimized geometry, DFT GGA-PBE
data_BePdF3
_chemical_formula_sum 'Be1 Pd1 F3'
_symmetry_space_group_name_H-M 'P m -3 m'
_symmetry_Int_Tables_number 221
_symmetry_space_group_name_Hall '-P 4 2 3'
_cell_length_a 4.228
_cell_length_b 4.228
_cell_length_c 4.228
_cell_angle_alpha 90.00
_cell_angle_beta 90.00
_cell_angle_gamma 90.00
loop_
_atom_site_label
_atom_site_fract_x
_atom_site_fract_y
_atom_site_fract_z
Be1 0.000 0.000 0.000
Pd1 0.500 0.500 0.500
F1 0.000 0.500 0.500
# - calculated total energy (eV per atom) = -3.450
# - density (Mg/m³) = 3.8
# - total moment (μB per formula unit) = 0.90
# - D(E_F) (states/eV/f.u.) = 1.351